Material: TbSm2ScS4
Method: DFT, PBE-GGA
State: optimized geometry

D(E_F) ... 4.76 states/eV per cell
Magnetic moment ... 0.0 μB per formula unit
Space group ... P2/m, No. 10
Volume ... 170 Å³/f.u.
Formation energy from raw total energies ... -1.96 eV/atom

Cell: 3.871 6.754 6.862 Å, 108.94 90.00 90.00°
Fractional positions:
Tb  0.500  0.500  0.000
Sm  0.500  0.000  0.500
Sm  0.000  0.500  0.500
Sc  0.000  0.000  0.000
S  0.500  0.235  0.230
S  0.500  0.765  0.770
S  0.000  0.246  0.764
S  0.000  0.754  0.236